The following is a DFT calculation (PBE) of a relaxed KCuTc2 crystal.

a b c (Å): 2.624 5.333 5.034
angles (deg): 90.00 96.24 90.00
Space group P2/m (No. 10)
Asymmetric unit:
K  0.000  0.000  0.000
Cu  0.500  0.000  0.500
Tc  0.340  0.500  0.757

Values from the calculation:
For the energy relative to the elements, the calculation gives 4.58 eV/f.u. The calculated volume comes out at 70.04 Å³/cell. Its distance to the lowest polymorph of the same formula is 557.8 meV per atom. For the uncorrected energy, the calculation gives -21.35 eV/cell. The total magnetization is 0.000 μB per formula unit.


The following is a DFT calculation (PBE) of a relaxed BeTl2Cr crystal.

a b c (Å): 3.887 4.050 5.459
angles (deg): 90.00 109.91 90.00
Space group Pm (No. 6)
Asymmetric unit:
Be  0.000  0.000  0.000
Tl  0.429  0.500  0.849
Tl  0.721  0.000  0.449
Cr  0.133  0.500  0.273

Values from the calculation:
For the energy relative to the elements, the calculation gives 2.60 eV/f.u. The calculated volume comes out at 80.80 Å³/cell. Its distance to the lowest polymorph of the same formula is 121.2 meV per atom. For the uncorrected energy, the calculation gives -15.49 eV/cell. The total magnetization is 3.573 μB per formula unit.


The following is a DFT calculation (PBE) of a relaxed MnRh4Br crystal.

a b c (Å): 7.374 7.374 7.374
angles (deg): 90.00 90.00 90.00
Space group F-43m (No. 216)
Asymmetric unit:
Mn  0.000  0.000  0.000
Rh  0.125  0.125  0.375
Br  0.250  0.250  0.750

Values from the calculation:
The calculated volume comes out at 400.92 Å³/cell. For the uncorrected energy, the calculation gives -146.52 eV/cell. The total magnetization is 2.674 μB per formula unit.


The following is a DFT calculation (PBE) of a relaxed FeTeBr2 crystal.

a b c (Å): 6.219 3.491 7.014
angles (deg): 90.00 108.53 90.00
Space group Pm (No. 6)
Asymmetric unit:
Fe  0.000  0.000  0.000
Te  0.211  0.500  0.849
Br  0.637  0.000  0.759
Br  0.991  0.500  0.252

Values from the calculation:
The calculated volume comes out at 144.35 Å³/cell. For the uncorrected energy, the calculation gives -15.63 eV/cell. The total magnetization is 3.491 μB per formula unit.